No. 1
Density functional theory data (PBE-GGA) for KB2H8Pb after structural relaxation.

Properties
- E_tot (eV per atom) = -3.851

Lattice parameters (Å, degrees): 4.9973 4.9973 7.3281 70.06 70.06 60.00
Last column: magnetic moment on the atom in μB.
Positions (direct):
H (0.8064, 0.8064, 0.5809)  0.00
H (0.5908, 0.5900, 0.8270)  0.01
H (0.4092, 0.4100, 0.1730)  0.01
H (0.4100, 0.0077, 0.1730)  0.01
H (0.0077, 0.4092, 0.1730)  0.01
H (0.9923, 0.5908, 0.8270)  0.01
H (0.1936, 0.1936, 0.4191)  0.00
H (0.5900, 0.9923, 0.8270)  0.01
Pb (0.0000, 0.0000, 0.0000)  0.31
B (0.2543, 0.2543, 0.2370)  0.03
B (0.7457, 0.7457, 0.7630)  0.03
K (0.5000, 0.5000, 0.5000)  0.01

No. 2
Density functional theory data (PBE-GGA) for CrAu2Cl after structural relaxation.

Properties
- E_tot (eV per atom) = -4.045
- raw formation energy (eV per atom) = 0.461
- ΔE to the lowest computed polymorph (meV/atom) = 522

Lattice parameters (Å, degrees): 4.7457 4.7457 4.7457 60.00 60.00 60.00
Last column: magnetic moment on the atom in μB.
Positions (direct):
Cl (0.0000, 0.0000, 0.0000)  0.11
Cr (0.5000, 0.5000, 0.5000)  3.81
Au (0.2500, 0.2500, 0.2500)  0.04
Au (0.7500, 0.7500, 0.7500)  0.04

No. 3
Density functional theory data (PBE-GGA) for K3RbAu after structural relaxation.

Properties
- E_tot (eV per atom) = -1.510
- ΔE to the lowest computed polymorph (meV/atom) = 130

Lattice parameters (Å, degrees): 5.2752 5.2752 11.9203 90.00 90.00 90.00
Positions (direct):
Rb (0.0000, 0.0000, 0.0861)
Au (0.5000, 0.5000, 0.6069)
K (0.5000, 0.0000, 0.4294)
K (0.0000, 0.0000, 0.7119)
K (0.0000, 0.5000, 0.4294)

No. 4
Density functional theory data (PBE-GGA) for RbGaOs2O8 after structural relaxation.

Properties
- E_tot (eV per atom) = -6.616
- raw formation energy (eV per atom) = -1.106

Lattice parameters (Å, degrees): 5.3674 5.3674 8.4334 90.00 90.00 120.00
Last column: magnetic moment on the atom in μB.
Positions (direct):
Ga (0.0000, 0.0000, 0.5000)  0.08
O (0.0424, 0.3174, 0.6411)  0.16
O (0.3333, 0.6667, 0.9167)  0.17
O (0.7250, 0.0424, 0.3589)  0.16
O (0.6826, 0.7250, 0.6411)  0.16
O (0.2750, 0.9576, 0.6411)  0.16
O (0.6667, 0.3333, 0.0833)  0.17
O (0.9576, 0.6826, 0.3589)  0.16
O (0.3174, 0.2750, 0.3589)  0.16
Os (0.3333, 0.6667, 0.7064)  1.12
Os (0.6667, 0.3333, 0.2936)  1.12
Rb (0.0000, 0.0000, 0.0000)  0.00

No. 5
Density functional theory data (PBE-GGA) for Cs2Tl4InBi3 after structural relaxation.

Properties
- E_tot (eV per atom) = -2.721

Lattice parameters (Å, degrees): 5.3153 5.3153 14.0164 90.00 90.00 90.00
Positions (direct):
Bi (0.0000, 0.5000, 0.1308)
Bi (0.5000, 0.0000, 0.8692)
Bi (0.0000, 0.0000, 0.5000)
Cs (0.5000, 0.0000, 0.2472)
Cs (0.0000, 0.5000, 0.7528)
Tl (0.5000, 0.5000, 0.0000)
Tl (0.0000, 0.0000, 0.0000)
Tl (0.0000, 0.5000, 0.3652)
Tl (0.5000, 0.0000, 0.6348)
In (0.5000, 0.5000, 0.5000)

No. 6
Density functional theory data (PBE-GGA) for Sr2SbW after structural relaxation.

Properties
- E_tot (eV per atom) = -4.609
- raw formation energy (eV per atom) = 0.501

Lattice parameters (Å, degrees): 3.2817 3.2817 10.1544 90.00 90.00 90.03
Positions (direct):
Sb (0.5000, 0.5000, 0.7500)
W (0.5000, 0.5000, 0.2500)
Sr (0.0000, 0.0000, 0.0084)
Sr (0.0000, 0.0000, 0.4916)

No. 7
Density functional theory data (PBE-GGA) for TbSb2Pt after structural relaxation.

Properties
- E_tot (eV per atom) = -4.919
- raw formation energy (eV per atom) = -0.190

Lattice parameters (Å, degrees): 3.7018 3.7018 9.7908 79.10 79.10 60.00
Positions (direct):
Sb (0.1085, 0.1085, 0.6745)
Sb (0.8915, 0.8915, 0.3255)
Pt (0.5000, 0.5000, 0.5000)
Tb (0.0000, 0.0000, 0.0000)

No. 8
Density functional theory data (PBE-GGA) for CdO after structural relaxation.

Properties
- E_tot (eV per atom) = -3.942
- raw formation energy (eV per atom) = -1.006

Lattice parameters (Å, degrees): 3.6614 3.6614 11.7974 90.00 90.00 60.00
Positions (direct):
Cd (0.3333, 0.3333, 0.0303)
Cd (0.0000, 0.0000, 0.2800)
Cd (0.6667, 0.6667, 0.5303)
Cd (0.0000, 0.0000, 0.7800)
O (0.6667, 0.6667, 0.7196)
O (0.0000, 0.0000, 0.4701)
O (0.3333, 0.3333, 0.2196)
O (0.0000, 0.0000, 0.9701)

No. 9
Density functional theory data (PBE-GGA) for Ac2YTh after structural relaxation.

Properties
- E_tot (eV per atom) = -5.402
- ΔE to the lowest computed polymorph (meV/atom) = 6

Lattice parameters (Å, degrees): 5.3417 5.3359 5.3359 90.00 90.00 90.00
Positions (direct):
Th (0.5000, 0.5000, 0.5000)
Ac (0.0000, 0.0000, 0.5000)
Ac (0.0000, 0.5000, 0.0000)
Y (0.5000, 0.0000, 0.0000)

No. 10
Density functional theory data (PBE-GGA) for Pm2ZrHg after structural relaxation.

Properties
- E_tot (eV per atom) = -4.365
- ΔE to the lowest computed polymorph (meV/atom) = 370

Lattice parameters (Å, degrees): 3.3441 3.3441 11.9125 81.93 81.93 60.00
Positions (direct):
Hg (0.5000, 0.5000, 0.5000)
Pm (0.0909, 0.0909, 0.7272)
Pm (0.9091, 0.9091, 0.2728)
Zr (0.0000, 0.0000, 0.0000)

No. 11
Density functional theory data (PBE-GGA) for HfHgB2Ir after structural relaxation.

Properties
- E_tot (eV per atom) = -6.017

Lattice parameters (Å, degrees): 4.1409 5.2512 4.1409 90.00 90.00 90.00
Positions (direct):
Hf (0.0000, 0.5000, 0.0000)
Ir (0.0000, 0.0000, 0.0000)
B (0.5000, 0.0000, 0.0000)
B (0.0000, 0.0000, 0.5000)
Hg (0.5000, 0.5000, 0.5000)

No. 12
Density functional theory data (PBE-GGA) for TeAuI2N after structural relaxation.

Properties
- E_tot (eV per atom) = -2.497
- raw formation energy (eV per atom) = 1.071
- ΔE to the lowest computed polymorph (meV/atom) = 155

Lattice parameters (Å, degrees): 4.9361 4.9361 4.9365 90.00 90.00 90.00
Positions (direct):
Te (0.0000, 0.0000, 0.5000)
I (0.0000, 0.5000, 0.0000)
I (0.5000, 0.0000, 0.0000)
Au (0.5000, 0.5000, 0.5000)
N (0.0000, 0.0000, 0.0000)

Question: Among the records above, which one has the highest E_tot?
Answer: K3RbAu

Question: What is the E_tot in the fifth record?
Answer: -2.721 eV per atom

Question: Look up the E_tot of the twelfth one.
Answer: -2.497 eV per atom